1.
Computed, not measured: crystalline Ac2CeCd at its relaxed geometry at the GGA-PBE level of DFT.

Summary:
Energy above the most stable polymorph in this dataset ... 55 kJ/mol of formula units
Calculated formation energy ... 9.3 kJ per mole of atoms
Crystal system ... cubic

The structure in CIF format:
```
data_Ac2CeCd
_chemical_formula_sum 'Ac8 Ce4 Cd4'
_cell_length_a 8.2431
_cell_length_b 8.2431
_cell_length_c 8.2431
_cell_angle_alpha 90.00
_cell_angle_beta 90.00
_cell_angle_gamma 90.00
_space_group_name_H-M_alt 'F m -3 m'
_space_group_IT_number 225
_space_group_name_Hall '-F 4 2 3'
loop_
_atom_site_label
_atom_site_type_symbol
_atom_site_fract_x
_atom_site_fract_y
_atom_site_fract_z
Ac1 Ac 0.2500 0.2500 0.2500
Ce1 Ce 0.0000 0.0000 0.0000
Cd1 Cd 0.0000 0.0000 0.5000
```

***

2.
Computed, not measured: crystalline Rb2SrThSe4 at its relaxed geometry at the GGA-PBE level of DFT.

Summary:
Raw formation energy ... -1.70 eV/atom
Crystal system ... monoclinic

The structure in CIF format:
```
data_Rb2SrThSe4
_chemical_formula_sum 'Rb2 Sr1 Th1 Se4'
_cell_length_a 7.7602
_cell_length_b 4.4667
_cell_length_c 8.3974
_cell_angle_alpha 90.00
_cell_angle_beta 107.76
_cell_angle_gamma 90.00
_space_group_name_H-M_alt 'P 1 2/m 1'
_space_group_IT_number 10
_space_group_name_Hall '-P 2y'
loop_
_atom_site_label
_atom_site_type_symbol
_atom_site_fract_x
_atom_site_fract_y
_atom_site_fract_z
Rb1 Rb 0.0000 0.0000 0.0000
Rb2 Rb 0.5000 0.5000 0.0000
Sr1 Sr 0.0000 0.5000 0.5000
Th1 Th 0.5000 0.0000 0.5000
Se1 Se 0.2560 0.0000 0.7021
Se2 Se 0.2837 0.5000 0.3001
```

***

Density of states at the Fermi level list, top to bottom, in states/eV per atom: 2.60 0.00
Total DFT energy (no corrections) list, top to bottom, in eV/cell: -58.72 -38.58